# 1
! Cs2KRb2 GGA-PBE optimized geometry; values from VASP
&SYSTEM
  ibrav = 0, nat = 10, ntyp = 3
/
ATOMIC_SPECIES
Cs 132.91 Cs.upf
K 39.10 K.upf
Rb 85.47 Rb.upf
CELL_PARAMETERS angstrom
-11.264 -1.498 -2.526
2.791 -2.347 -11.055
0.588 -7.273 1.692
ATOMIC_POSITIONS crystal
Cs 0.172 0.672 0.500
Cs 0.672 0.828 0.500
Cs 0.828 0.328 0.500
Cs 0.328 0.172 0.500
K 0.000 0.000 0.000
K 0.500 0.500 0.000
Rb 0.362 0.862 0.000
Rb 0.862 0.638 0.000
Rb 0.638 0.138 0.000
Rb 0.138 0.362 0.000
! Calculated total energy   -9.12 eV per cell
! Space group   P4/mbm (127)
! Distance to the lowest polymorph of the same formula   30 meV per atom
! Formation enthalpy at 0 K   3.5 kJ per mole of atoms


# 2
! NaScCo3 GGA-PBE optimized geometry; values from VASP
&SYSTEM
  ibrav = 0, nat = 5, ntyp = 3
/
ATOMIC_SPECIES
Sc 44.96 Sc.upf
Na 22.99 Na.upf
Co 58.93 Co.upf
CELL_PARAMETERS angstrom
4.587 0.000 0.000
0.000 4.587 0.000
0.000 0.000 4.587
ATOMIC_POSITIONS crystal
Sc 0.000 0.000 0.000
Na 0.500 0.500 0.500
Co 0.000 0.500 0.000
Co 0.000 0.000 0.500
Co 0.500 0.000 0.000
! Calculated total energy   -22.86 eV per cell
! Space group   Pm-3m (221)
! Distance to the lowest polymorph of the same formula   0 meV per atom
! Formation enthalpy at 0 K   117.8 kJ per mole of atoms